First-principles (SCAN) data for a crystal of CrNi2As relaxed with PBEsol, as listed in Alexandria.

## Properties
Energy relative to the elements   -0.0263 eV/atom
Fermi-level density of states   3.90 states/eV per cell

Unit cell a=3.6951 b=4.9592 c=4.9592 alpha=31.01 beta=90.00 gamma=90.00
Element x y z (fractional)
Cr  0.0000  0.0000  0.0000
Ni  0.0000  0.2512  0.2512
Ni  0.5000  0.6378  0.6378
As  0.5000  0.3908  0.3908

First-principles (SCAN) data for a crystal of CrNiAs2Pt relaxed with PBEsol, as listed in Alexandria.

## Properties
Energy relative to the elements   0.8356 eV/atom
Fermi-level density of states   3.51 states/eV per cell

Unit cell a=4.4293 b=4.4293 c=4.2940 alpha=90.00 beta=90.00 gamma=90.00
Element x y z (fractional)
Cr  0.0000  0.0000  0.0000
Ni  0.0000  0.0000  0.5000
As  0.0000  0.5000  0.0000
As  0.5000  0.0000  0.0000
Pt  0.5000  0.5000  0.5000

First-principles (SCAN) data for a crystal of CrNi2AsSe relaxed with PBEsol, as listed in Alexandria.

## Properties
Fermi-level density of states   3.26 states/eV per cell
Formation energy from raw total energies   0.64 eV per atom

Unit cell a=4.2022 b=4.2022 c=5.2059 alpha=90.00 beta=90.00 gamma=90.00
Element x y z (fractional)
Cr  0.0000  0.0000  0.0000
Ni  0.0000  0.5000  0.5000
Ni  0.5000  0.0000  0.5000
As  0.5000  0.5000  0.0000
Se  0.5000  0.5000  0.5000